No. 1
Compound: KNiRu2
Source: Alexandria via LeMat-Bulk
Functional: GGA-PBE
Structure: relaxed

POSCAR file:
```
KNiRu2
1.0
4.2324 0.0000 0.0000
0.0000 2.6801 0.1000
0.0000 1.1210 7.0631
K Ni Ru
1 1 2
Cartesian
2.1162 1.6203 1.8158
2.1162 2.1808 5.3473
0.0000 1.3764 6.3912
0.0000 2.9852 4.3035
```

Values from the calculation:
Space group: P2/m (10)

---

No. 2
Compound: KNiRu2
Source: Alexandria via LeMat-Bulk
Functional: GGA-PBE
Structure: relaxed

POSCAR file:
```
KNiRu2
1.0
2.6706 0.0079 0.0000
-0.0071 2.6706 0.0000
0.0000 0.0000 9.2516
K Ni Ru
1 1 2
Cartesian
1.3318 1.3392 2.3129
1.3318 1.3392 6.9387
0.0000 0.0000 8.6985
0.0000 0.0000 5.1789
```

Values from the calculation:
Space group: P4/mmm (123)

---

No. 3
Compound: KNiRu2
Source: Alexandria via LeMat-Bulk
Functional: GGA-PBE
Structure: relaxed

POSCAR file:
```
KNiRu2
1.0
-1.4908 -3.6226 -3.8575
-0.5621 -1.1643 5.3437
-2.3208 0.9862 -0.0292
K Ni Ru
1 1 2
Cartesian
-1.9058 -1.3182 -1.9434
-1.4414 -0.0890 2.6572
0.0000 0.0000 0.0000
-1.0264 -2.3934 0.7431
```

Values from the calculation:
Space group: Cmmm (65)

---

No. 4
Compound: KNi3Ru
Source: Alexandria via LeMat-Bulk
Functional: GGA-PBE
Structure: relaxed

POSCAR file:
```
KNi3Ru
1.0
-0.1989 3.0082 -3.5105
-4.2093 -1.5709 -1.1076
-1.9118 3.1457 2.8039
Ru K Ni
1 1 3
Cartesian
0.0000 0.0000 0.0000
-3.1600 2.2915 -0.9071
-2.1046 -0.7855 -0.5538
-0.9559 1.5729 1.4020
-0.0995 1.5041 -1.7553
```

Values from the calculation:
Space group: Pm-3m (221)

---

No. 5
Compound: KNiRu2
Source: Alexandria via LeMat-Bulk
Functional: GGA-PBE
Structure: relaxed

POSCAR file:
```
KNiRu2
1.0
-1.8481 -0.9976 -1.7381
-1.8539 -1.4262 2.7898
-4.0804 6.4966 0.6096
K Ni Ru
1 1 2
Cartesian
-2.0874 3.3234 0.3119
-5.2491 4.1984 1.0335
-4.0804 6.4966 0.6096
-2.4861 -0.2007 0.6207
```

Values from the calculation:
Space group: Pmm2 (25)

---

No. 6
Compound: K2NiRu
Source: Alexandria via LeMat-Bulk
Functional: GGA-PBE
Structure: relaxed

POSCAR file:
```
K2NiRu
1.0
-2.2244 1.5768 5.4780
-1.5558 -4.9910 3.1799
4.8107 2.6762 -2.6716
K Ni Ru
2 1 1
Cartesian
-0.0960 -0.0867 0.2198
0.4702 1.3832 3.2881
-1.6284 -1.4708 3.7296
0.3947 -2.2709 3.0777
```

Values from the calculation:
Space group: Imm2 (44)

---

No. 7
Compound: K4NiRu
Source: Alexandria via LeMat-Bulk
Functional: GGA-PBE
Structure: relaxed

POSCAR file:
```
K4NiRu
1.0
0.0000 4.7465 4.7465
4.7465 0.0000 4.7465
4.7465 4.7465 0.0000
K Ni Ru
4 1 1
Cartesian
3.5583 5.9348 5.9348
5.9348 5.9348 3.5583
5.9348 3.5583 5.9348
3.5583 3.5583 3.5583
7.1198 7.1198 7.1198
0.0000 0.0000 0.0000
```

Values from the calculation:
Space group: F-43m (216)

---

No. 8
Compound: KNiRu2
Source: Alexandria via LeMat-Bulk
Functional: GGA-PBE
Structure: relaxed

POSCAR file:
```
KNiRu2
1.0
4.4452 -0.0033 -0.0040
3.6370 2.5558 -0.0040
0.4674 0.1476 6.9867
K Ni Ru
1 1 2
Cartesian
4.3064 1.3600 3.4305
2.2206 0.7013 1.0778
8.4957 2.6831 6.9448
6.3513 2.0058 5.9937
```

Values from the calculation:
Space group: Cm (8)

---

No. 9
Compound: KNiRu2
Source: Alexandria via LeMat-Bulk
Functional: GGA-PBE
Structure: relaxed

POSCAR file:
```
KNiRu2
1.0
2.6341 0.0000 0.0000
0.0000 3.6141 0.0000
0.0000 0.0000 7.9377
K Ni Ru
1 1 2
Cartesian
1.3170 1.8071 1.9844
1.3170 1.8071 5.9533
0.0000 0.0000 7.1927
0.0000 0.0000 4.7138
```

Values from the calculation:
Space group: Pmmm (47)

---

No. 10
Compound: K2NiRu
Source: Alexandria via LeMat-Bulk
Functional: GGA-PBE
Structure: relaxed

POSCAR file:
```
K2NiRu
1.0
10.2298 1.0377 -0.1269
8.5718 5.6790 0.1269
-9.2652 -3.7380 2.4344
K Ni Ru
2 1 1
Cartesian
16.7471 5.9827 0.0000
11.4554 4.0923 0.0000
5.1827 0.3290 1.1537
4.3537 2.6497 1.2806
```

Values from the calculation:
Space group: Immm (71)

---

No. 11
Compound: KNiRu2
Source: Alexandria via LeMat-Bulk
Functional: GGA-PBE
Structure: relaxed

POSCAR file:
```
KNiRu2
1.0
-0.9439 -4.2230 -1.1824
3.5673 -1.4386 2.3083
-3.1174 2.5092 2.0271
K Ni Ru
1 1 2
Cartesian
1.3117 -2.8308 0.5629
-1.3748 -2.2723 0.7038
0.0000 0.0000 0.0000
0.8808 -0.8801 2.4492
```

Values from the calculation:
Space group: F-43m (216)

---

No. 12
Compound: K2NiRu
Source: Alexandria via LeMat-Bulk
Functional: GGA-PBE
Structure: relaxed

POSCAR file:
```
K2NiRu
1.0
-2.4593 11.3996 -3.8830
-11.2941 -3.5588 -3.2947
-7.6387 4.4507 -1.5494
Ru K Ni
2 4 2
Cartesian
0.0000 0.0000 0.0000
-8.4874 9.8853 -4.5106
-4.3753 5.5529 -2.4632
-9.7591 2.5530 -3.6948
-13.1055 5.5791 -4.5010
-15.5443 10.8979 -6.7952
-6.8767 3.9204 -3.5888
-12.9047 2.4061 -4.2165
```

Values from the calculation:
Space group: I-42d (122)

---

| no. | ΔH_f (0 K) (eV per formula unit) |
| --- | --- |
| 1 | 3.88 |
| 2 | 3.08 |
| 3 | 4.82 |
| 4 | 5.14 |
| 5 | 2.54 |
| 6 | 3.44 |
| 7 | 8.38 |
| 8 | 2.78 |
| 9 | 3.26 |
| 10 | 2.76 |
| 11 | 5.08 |
| 12 | 4.15 |